PmTlRh: optimized geometry, PBE-GGA.

Summary:
Formation energy = -0.366 eV/atom
Size of the total moment = 0.00 μB per cell
ΔE to the lowest computed polymorph = 0.174 eV per atom

Lattice parameters (Å, degrees): 4.7824 4.7824 3.5356 90.00 90.00 120.00
Fractional positions:
Pm (0.0000, 0.0000, 0.0000)
Tl (0.6667, 0.3333, 0.5000)
Rh (0.3333, 0.6667, 0.5000)